1.
Here is a relaxed KPuTcN4 crystal from Alexandria. Energies are from PBE.

Results
total magnetization: 8.000 μB per cell
DOS(E_F): 4.97 states/eV/f.u.
formation energy from raw total energies: -0.368 eV per atom
volume: 258.18 Å³/cell
VASP energy: -8.810 eV per atom

CIF file:
```
data_KPuTcN4
_chemical_formula_sum 'K2 Pu2 Tc2 N8'
_cell_length_a 5.973
_cell_length_b 5.887
_cell_length_c 7.642
_cell_angle_alpha 90.00
_cell_angle_beta 106.10
_cell_angle_gamma 90.00
_symmetry_space_group_name_H-M 'P 1 21/m 1'
_symmetry_Int_Tables_number 11
loop_
_symmetry_equiv_pos_as_xyz
'x,y,z'
'-x,-y,-z'
'-x,y+1/2,-z'
'x,-y+1/2,z'
loop_
_atom_site_label
_atom_site_fract_x
_atom_site_fract_y
_atom_site_fract_z
K1 0.201 0.250 0.427
Pu1 0.295 0.250 0.952
Tc1 0.240 0.750 0.156
N1 0.030 0.750 0.938
N2 0.038 0.750 0.296
N3 0.448 0.511 0.169
```


2.
Here is a relaxed Ce2Cd3Ga crystal from Alexandria. Energies are from PBE.

Results
total magnetization: 2.417 μB per cell
DOS(E_F): 12.30 states/eV/f.u.
DFT formation energy: -299.6 meV/atom
volume: 144.20 Å³/cell
VASP energy: -3.240 eV per atom

CIF file:
```
data_Ce2Cd3Ga
_chemical_formula_sum 'Ce2 Cd3 Ga1'
_cell_length_a 3.297
_cell_length_b 5.030
_cell_length_c 8.695
_cell_angle_alpha 90.00
_cell_angle_beta 90.00
_cell_angle_gamma 90.00
_symmetry_space_group_name_H-M 'P m m 2'
_symmetry_Int_Tables_number 25
loop_
_symmetry_equiv_pos_as_xyz
'x,y,z'
'-x,-y,z'
'-x,y,z'
'x,-y,z'
loop_
_atom_site_label
_atom_site_fract_x
_atom_site_fract_y
_atom_site_fract_z
Ce1 0.000 0.000 0.000
Ce2 0.000 0.500 0.477
Cd1 0.500 0.000 0.653
Cd2 0.500 0.500 0.154
Cd3 0.500 0.500 0.818
Ga1 0.500 0.000 0.324
```